YScIn2: relaxed, GGA-PBEsol.

a b c (Å): 3.3329 5.3799 5.3799
angles (deg): 103.81 90.00 90.00
Closest atoms and distances in Å follow each position.
Fractional coordinates of all 4 atoms:
Y1 0.5000 0.5000 0.5000  8 In 3.16, 2 Sc 3.32, 2 Y 3.33
Sc1 0.5000 0.0000 0.0000  8 In 3.16, 2 Y 3.32, 2 Sc 3.33
In1 0.0000 0.5000 0.0000  4 Y 3.16, 4 Sc 3.16, 4 In 3.32-3.33
In2 0.0000 0.0000 0.5000  4 Sc 3.16, 4 Y 3.16, 4 In 3.32-3.33

Results
Space-group type: Cmmm, No. 65
Theoretical density in Mg/m³: 6.4
ΔE_f in kJ/mol of atoms: -49

=====

YScIn2: relaxed, GGA-PBEsol.

a b c (Å): 3.3223 4.1627 6.7505
angles (deg): 90.00 90.00 90.00
Closest atoms and distances in Å follow each position.
Fractional coordinates of all 4 atoms:
Y1 0.5000 0.5000 0.5000  8 In 3.22, 2 Y 3.32, 2 Sc 3.38
Sc1 0.5000 0.5000 0.0000  8 In 3.09, 2 Sc 3.32, 2 Y 3.38
In1 0.0000 0.0000 0.7687  4 Sc 3.09, 3 In 3.12-3.32, 4 Y 3.22
In2 0.0000 0.0000 0.2313  4 Sc 3.09, 3 In 3.12-3.32, 4 Y 3.22

Results
Space-group type: Pmmm, No. 47
Theoretical density in Mg/m³: 6.5
ΔE_f in kJ/mol of atoms: -51

=====

Y2ScIn: relaxed, GGA-PBEsol.

a b c (Å): 3.7232 5.1593 6.3616
angles (deg): 113.92 107.02 90.00
Closest atoms and distances in Å follow each position.
Fractional coordinates of all 4 atoms:
Y1 0.0042 0.0042 0.0084  4 In 3.18, 2 Sc 3.55, 2 Y 3.56
Y2 0.2267 0.7267 0.4535  2 In 3.20, 4 Sc 3.23, 4 Y 3.56-3.58
Sc1 0.7785 0.2785 0.5570  2 In 2.99, 4 Y 3.23
In1 0.4906 0.4906 0.9812  2 Sc 2.99, 6 Y 3.18-3.20

Results
Space-group type: Imm2, No. 44
Theoretical density in Mg/m³: 5.3
ΔE_f in kJ/mol of atoms: -28

=====

YScIn2: relaxed, GGA-PBEsol.

a b c (Å): 3.6880 5.0509 5.0509
angles (deg): 90.00 90.00 90.00
Closest atoms and distances in Å follow each position.
Fractional coordinates of all 4 atoms:
Y1 0.5000 0.0000 0.0000  8 In 3.13
Sc1 0.5000 0.5000 0.5000  8 In 3.13
In1 0.0000 0.0000 0.5000  4 Sc 3.13, 4 Y 3.13
In2 0.0000 0.5000 0.0000  4 Y 3.13, 4 Sc 3.13

Results
Space-group type: P4/mmm, No. 123
Theoretical density in Mg/m³: 6.4
ΔE_f in kJ/mol of atoms: -48

=====

Number 2 is which compound?
YScIn2